(1)
Computed, not measured: a relaxed structure of HoEr2Se3 at the PBE level of DFT.

Cell and atoms, written as CIF:
```
data_HoEr2Se3
_chemical_formula_sum 'Ho2 Er4 Se6'
_cell_length_a 4.0627
_cell_length_b 5.6975
_cell_length_c 12.1027
_cell_angle_alpha 90.00
_cell_angle_beta 90.00
_cell_angle_gamma 90.00
_symmetry_space_group_name_H-M 'I m m m'
_symmetry_Int_Tables_number 71
_symmetry_space_group_name_Hall '-I 2 2'
loop_
_atom_site_label
_atom_site_fract_x
_atom_site_fract_y
_atom_site_fract_z
Ho1 0.0000 0.0000 0.0000
Er1 0.0000 0.0000 0.3345
Se1 0.0000 0.5000 0.0000
Se2 0.0000 0.5000 0.3321
```

DOS at the Fermi energy   2.5 states/eV/f.u.
Formation energy from raw total energies   -1.70 eV per atom

(2)
Computed, not measured: a relaxed structure of PrLuSnHg at the PBE level of DFT.

Cell and atoms, written as CIF:
```
data_PrLuSnHg
_chemical_formula_sum 'Pr4 Lu4 Sn4 Hg4'
_cell_length_a 7.5599
_cell_length_b 7.5599
_cell_length_c 7.5599
_cell_angle_alpha 90.00
_cell_angle_beta 90.00
_cell_angle_gamma 90.00
_symmetry_space_group_name_H-M 'F -4 3 m'
_symmetry_Int_Tables_number 216
_symmetry_space_group_name_Hall 'F -4 2 3'
loop_
_atom_site_label
_atom_site_fract_x
_atom_site_fract_y
_atom_site_fract_z
Pr1 0.0000 0.0000 0.0000
Lu1 0.0000 0.0000 0.5000
Sn1 0.2500 0.2500 0.7500
Hg1 0.2500 0.2500 0.2500
```

DOS at the Fermi energy   3.5 states/eV/f.u.
ΔE_f   -0.530 eV/atom